Entry 1:
A relaxed TaInSe2N crystal, computed with PBE.

Cell lengths 5.239, 5.239, 3.935 Å; angles 90.00, 90.00, 90.00 degrees
Fractional positions:
1 Se 0.500 0.000 0.000
2 N 0.000 0.000 0.500
3 In 0.500 0.500 0.500
4 Ta 0.000 0.000 0.000
5 Se 0.000 0.500 0.000

Computed properties:
Energy above the lowest structure with this stoichiometry   0 meV/atom
Spin magnetization   0.00 μB per formula unit
Raw total energy   -31.0 eV/f.u.
Formation energy (no corrections)   -0.227 eV per atom

Entry 2:
A relaxed CeAl2SiRh4 crystal, computed with PBE.

Cell lengths 4.202, 4.202, 8.738 Å; angles 76.09, 76.09, 60.00 degrees
Site moments in Bohr magnetons follow the coordinates.
Fractional positions:
1 Al 0.240 0.240 0.281  0.00
2 Al 0.760 0.760 0.719  0.00
3 Ce 0.000 0.000 0.000  0.38
4 Rh 0.597 0.597 0.210  -0.01
5 Rh 0.403 0.403 0.790  -0.01
6 Rh 0.865 0.865 0.406  0.01
7 Rh 0.135 0.135 0.594  0.01
8 Si 0.500 0.500 0.500  0.00

Computed properties:
Spin magnetization   0.51 μB per formula unit
Raw total energy   -55.3 eV/f.u.
Formation energy (no corrections)   -0.886 eV per atom